# 1
The following is a PBE calculation of an optimized crystal structure of HfGeBr3, from Alexandria.

Values from the calculation:
The space-group type is No. 221. The energy above the most stable polymorph in this dataset is 599 meV/atom.

```
HfGeBr3
1.0
-3.6180 1.3722 -3.7967
-3.7073 -3.1475 2.3953
-1.5980 4.1950 3.0390
Br Ge Hf
3 1 1
Direct
0.0000 0.5000 0.0000
0.5000 0.0000 0.0000
0.0000 0.0000 0.5000
0.0000 0.0000 0.0000
0.5000 0.5000 0.5000
```

***

# 2
The following is a PBE calculation of an optimized crystal structure of Be2SbRh, from Alexandria.

Values from the calculation:
The space-group type is No. 22.

```
Be2SbRh
1.0
-3.8863 2.5192 0.9223
-0.7769 0.2875 4.6491
3.7611 0.7633 -2.6807
Be Sb Rh
2 1 1
Direct
0.7501 0.2501 0.5000
0.0000 0.0000 0.0000
0.2499 0.7499 0.5000
0.4999 0.4999 0.0000
```

***

The following energy relative to the elements, uncorrected values (in kJ/mol of formula units) correspond, in order, to the records above: 218 12.